[1]
VASP calculation (PBE) on a relaxed structure of HoBi2Sb.

## Properties
Uncorrected formation energy: -1.3 eV/f.u.
Total energy: -4.442 eV/atom
Calculated volume: 117.2 Å³/f.u.

The structure in CIF format:
```
data_HoBi2Sb
_chemical_formula_sum 'Ho1 Bi2 Sb1'
_cell_length_a 4.665
_cell_length_b 4.665
_cell_length_c 5.386
_cell_angle_alpha 90.00
_cell_angle_beta 90.00
_cell_angle_gamma 90.00
_symmetry_space_group_name_H-M 'P 4/m m m'
_symmetry_Int_Tables_number 123
_symmetry_space_group_name_Hall '-P 4 2'
loop_
_atom_site_label
_atom_site_type_symbol
_atom_site_fract_x
_atom_site_fract_y
_atom_site_fract_z
Ho1 Ho 0.000 0.000 0.000
Bi1 Bi 0.000 0.500 0.500
Sb1 Sb 0.500 0.500 0.000
```

[2]
VASP calculation (PBE) on a relaxed structure of Ho6BiSb3Se2.

## Properties
Uncorrected formation energy: -15.2 eV/f.u.
Total energy: -5.490 eV/atom
Calculated volume: 334.8 Å³/f.u.

The structure in CIF format:
```
data_Ho6BiSb3Se2
_chemical_formula_sum 'Ho12 Bi2 Sb6 Se4'
_cell_length_a 18.649
_cell_length_b 4.300
_cell_length_c 8.573
_cell_angle_alpha 90.00
_cell_angle_beta 103.07
_cell_angle_gamma 90.00
_symmetry_space_group_name_H-M 'C 1 2/m 1'
_symmetry_Int_Tables_number 12
loop_
_symmetry_equiv_pos_as_xyz
'x,y,z'
'-x,-y,-z'
'-x,y,-z'
'x,-y,z'
'x+1/2,y+1/2,z'
'-x+1/2,-y+1/2,-z'
'-x+1/2,y+1/2,-z'
'x+1/2,-y+1/2,z'
loop_
_atom_site_label
_atom_site_type_symbol
_atom_site_fract_x
_atom_site_fract_y
_atom_site_fract_z
Ho1 Ho 0.005 0.000 0.258
Ho2 Ho 0.169 0.500 0.579
Ho3 Ho 0.171 0.500 0.090
Bi1 Bi 0.000 0.500 0.000
Sb1 Sb 0.000 0.500 0.500
Sb2 Sb 0.164 0.000 0.831
Se1 Se 0.169 0.000 0.336
```

[3]
VASP calculation (PBE) on a relaxed structure of Ho6Bi3SbSe2.

## Properties
Uncorrected formation energy: -14.0 eV/f.u.
Total energy: -5.352 eV/atom
Calculated volume: 341.2 Å³/f.u.

The structure in CIF format:
```
data_Ho6Bi3SbSe2
_chemical_formula_sum 'Ho12 Bi6 Sb2 Se4'
_cell_length_a 7.473
_cell_length_b 12.948
_cell_length_c 7.479
_cell_angle_alpha 90.00
_cell_angle_beta 109.44
_cell_angle_gamma 90.00
_symmetry_space_group_name_H-M 'C 1 2/m 1'
_symmetry_Int_Tables_number 12
loop_
_symmetry_equiv_pos_as_xyz
'x,y,z'
'-x,-y,-z'
'-x,y,-z'
'x,-y,z'
'x+1/2,y+1/2,z'
'-x+1/2,-y+1/2,-z'
'-x+1/2,y+1/2,-z'
'x+1/2,-y+1/2,z'
loop_
_atom_site_label
_atom_site_type_symbol
_atom_site_fract_x
_atom_site_fract_y
_atom_site_fract_z
Ho1 Ho 0.237 0.000 0.233
Ho2 Ho 0.249 0.330 0.239
Bi1 Bi 0.000 0.000 0.500
Bi2 Bi 0.000 0.337 0.500
Sb1 Sb 0.000 0.500 0.000
Se1 Se 0.000 0.167 0.000
```